1.
La3Nd6DyHo2 after structural relaxation. Source: Alexandria, functional GGA-PBE.

- crystal system = monoclinic
- Fermi-level density of states (states/eV/f.u.) = 19.42
- formation enthalpy at 0 K (eV/atom) = 0.02

a b c (Å): 6.3515 6.3515 12.1158
angles (deg): 95.03 95.03 120.05
Element x y z (fractional)
La  0.0000  0.0000  0.0000
La  0.3333  0.6667  0.0000
La  0.6667  0.3333  0.0000
Nd  0.0853  0.4187  0.2564
Nd  0.2478  0.2478  0.7435
Nd  0.4187  0.0853  0.2564
Nd  0.5813  0.9148  0.7436
Nd  0.7522  0.7522  0.2565
Nd  0.9148  0.5813  0.7436
Dy  0.5000  0.5000  0.5000
Ho  0.1667  0.8333  0.5000
Ho  0.8333  0.1667  0.5000

2.
La3Nd2Dy6Ho after structural relaxation. Source: Alexandria, functional GGA-PBE.

- crystal system = monoclinic
- Fermi-level density of states (states/eV/f.u.) = 15.23
- formation enthalpy at 0 K (eV/atom) = 0.02

a b c (Å): 6.2747 6.2747 11.8980
angles (deg): 95.03 95.03 120.01
Element x y z (fractional)
La  0.0000  0.0000  0.0000
La  0.3330  0.6670  0.0000
La  0.6670  0.3330  0.0000
Nd  0.1665  0.8335  0.5000
Nd  0.8335  0.1665  0.5000
Dy  0.0853  0.4180  0.2532
Dy  0.2496  0.2496  0.7470
Dy  0.4180  0.0853  0.2532
Dy  0.5820  0.9147  0.7468
Dy  0.7504  0.7504  0.2530
Dy  0.9147  0.5820  0.7468
Ho  0.5000  0.5000  0.5000

3.
La2Nd3Dy6Ho after structural relaxation. Source: Alexandria, functional GGA-PBE.

- crystal system = monoclinic
- Fermi-level density of states (states/eV/f.u.) = 14.48
- formation enthalpy at 0 K (eV/atom) = 0.01

a b c (Å): 6.2655 6.2655 11.8909
angles (deg): 95.02 95.02 119.99
Element x y z (fractional)
La  0.1662  0.8338  0.0000
La  0.8338  0.1662  0.0000
Nd  0.0000  0.0000  0.5000
Nd  0.3333  0.6667  0.5000
Nd  0.6667  0.3333  0.5000
Dy  0.0842  0.4164  0.7496
Dy  0.2516  0.2516  0.2507
Dy  0.4164  0.0842  0.7496
Dy  0.5836  0.9158  0.2504
Dy  0.7484  0.7484  0.7493
Dy  0.9158  0.5836  0.2504
Ho  0.5000  0.5000  0.0000

4.
LaNd6Dy3Ho2 after structural relaxation. Source: Alexandria, functional GGA-PBE.

- crystal system = monoclinic
- Fermi-level density of states (states/eV/f.u.) = 15.50
- formation enthalpy at 0 K (eV/atom) = 0.02

a b c (Å): 6.2960 6.2960 11.9675
angles (deg): 95.03 95.03 120.00
Element x y z (fractional)
La  0.0000  0.0000  0.0000
Nd  0.0843  0.4188  0.2520
Nd  0.2500  0.2500  0.7478
Nd  0.4188  0.0843  0.2520
Nd  0.5812  0.9157  0.7480
Nd  0.7500  0.7500  0.2522
Nd  0.9157  0.5812  0.7480
Dy  0.1671  0.8329  0.5000
Dy  0.5000  0.5000  0.5000
Dy  0.8329  0.1671  0.5000
Ho  0.3335  0.6665  0.0000
Ho  0.6665  0.3335  0.0000

5.
La2NdDy2Ho after structural relaxation. Source: Alexandria, functional GGA-PBE.

- crystal system = orthorhombic
- Fermi-level density of states (states/eV/f.u.) = 10.01
- formation enthalpy at 0 K (eV/atom) = 0.06

a b c (Å): 7.1335 5.7432 9.9262
angles (deg): 90.00 90.00 90.00
Element x y z (fractional)
La  0.0000  0.0000  0.0000
La  0.2500  0.5000  0.1775
La  0.5000  0.0000  0.0000
La  0.7500  0.5000  0.8225
Nd  0.2500  0.0000  0.6589
Nd  0.7500  0.0000  0.3411
Dy  0.2500  0.0000  0.3336
Dy  0.2500  0.5000  0.8343
Dy  0.7500  0.0000  0.6664
Dy  0.7500  0.5000  0.1657
Ho  0.0000  0.5000  0.5000
Ho  0.5000  0.5000  0.5000

6.
La3Nd6Dy2Ho after structural relaxation. Source: Alexandria, functional GGA-PBE.

- crystal system = monoclinic
- Fermi-level density of states (states/eV/f.u.) = 19.67
- formation enthalpy at 0 K (eV/atom) = 0.02

a b c (Å): 6.3529 6.3529 12.1278
angles (deg): 95.03 95.03 120.05
Element x y z (fractional)
La  0.0000  0.0000  0.0000
La  0.3333  0.6667  0.0000
La  0.6667  0.3333  0.0000
Nd  0.0855  0.4186  0.2563
Nd  0.2481  0.2481  0.7438
Nd  0.4186  0.0855  0.2563
Nd  0.5814  0.9145  0.7437
Nd  0.7519  0.7519  0.2562
Nd  0.9145  0.5814  0.7437
Dy  0.1666  0.8334  0.5000
Dy  0.8334  0.1666  0.5000
Ho  0.5000  0.5000  0.5000

7.
LaNd4Dy2Ho after structural relaxation. Source: Alexandria, functional GGA-PBE.

- crystal system = monoclinic
- Fermi-level density of states (states/eV/f.u.) = 11.56
- formation enthalpy at 0 K (eV/atom) = 0.02

a b c (Å): 6.2782 3.6526 12.0342
angles (deg): 90.00 100.19 90.00
Element x y z (fractional)
La  0.0000  0.0000  0.0000
Nd  0.2503  0.0000  0.7483
Nd  0.2514  0.5000  0.2543
Nd  0.7486  0.5000  0.7457
Nd  0.7497  0.0000  0.2517
Dy  0.0000  0.5000  0.5000
Dy  0.5000  0.0000  0.5000
Ho  0.5000  0.5000  0.0000

8.
LaNd2DyHo after structural relaxation. Source: Alexandria, functional GGA-PBE.

- crystal system = monoclinic
- Fermi-level density of states (states/eV/f.u.) = 7.21
- formation enthalpy at 0 K (eV/atom) = 0.28

a b c (Å): 8.5999 6.5529 6.3243
angles (deg): 90.00 97.92 90.00
Element x y z (fractional)
La  0.0000  0.0000  0.0000
La  0.0000  0.0000  0.5000
Nd  0.3125  0.3128  0.2050
Nd  0.3125  0.6872  0.7050
Nd  0.6875  0.3128  0.2950
Nd  0.6875  0.6872  0.7950
Dy  0.0000  0.4410  0.7500
Dy  0.0000  0.5590  0.2500
Ho  0.5000  0.1650  0.7500
Ho  0.5000  0.8350  0.2500